No. 1
Crystalline HoMg3Ag3 at its relaxed geometry. Source: Alexandria, functional GGA-PBE.

```
HoMg3Ag3
1.0
7.220 0.000 0.000
0.000 7.220 0.000
0.000 0.000 7.220
Ho Mg Ag
2 6 6
Direct
0.000 0.000 0.000
0.500 0.500 0.500
0.000 0.250 0.500
0.000 0.750 0.500
0.250 0.500 0.000
0.500 0.000 0.250
0.500 0.000 0.750
0.750 0.500 0.000
0.000 0.500 0.250
0.000 0.500 0.750
0.250 0.000 0.500
0.500 0.250 0.000
0.500 0.750 0.000
0.750 0.000 0.500
```

Computed properties:
* energy of formation from the pure elements: 362 meV/atom


No. 2
Crystalline Be2AlP at its relaxed geometry. Source: Alexandria, functional GGA-PBE.

```
Be2AlP
1.0
3.608 -1.603 0.000
3.608 1.603 0.000
-0.990 0.000 4.260
Be Al P
2 1 1
Direct
0.231 0.231 0.181
0.769 0.769 0.819
0.000 0.000 0.500
0.500 0.500 0.000
```

Computed properties:
* energy of formation from the pure elements: 278 meV/atom


No. 3
Crystalline Tl2H2OF2 at its relaxed geometry. Source: Alexandria, functional GGA-PBE.

```
Tl2H2OF2
1.0
3.997 0.000 0.000
0.597 4.969 0.000
1.938 -0.009 5.944
Tl H O F
2 2 1 2
Direct
0.124 0.271 0.224
0.876 0.729 0.776
0.482 0.153 0.614
0.518 0.847 0.386
0.500 0.000 0.500
0.476 0.342 0.769
0.524 0.658 0.231
```

Computed properties:
* total energy: -4.196 eV/atom


No. 4
Crystalline ScHIN2 at its relaxed geometry. Source: Alexandria, functional GGA-PBE.

```
ScHIN2
1.0
4.249 0.000 0.000
0.000 4.249 0.000
0.000 0.000 3.447
Sc H I N
1 1 1 2
Direct
0.000 0.000 0.000
0.500 0.500 0.500
0.500 0.500 0.000
0.000 0.500 0.500
0.500 0.000 0.500
```

Computed properties:
* total energy: -4.294 eV/atom


| no. | total magnetic moment (μB per atom) |
| --- | --- |
| 1 | 0.0000 |
| 2 | 0.0000 |
| 3 | 0.0000 |
| 4 | 0.2128 |